Ca2Nd3Sm6 | PBE | optimized geometry

Cell: 3.6750 3.6750 33.3920 Å, 86.85 86.85 60.00°
Fractional positions:
1 Ca 0.5461 0.5461 0.3617
2 Ca 0.4539 0.4539 0.6383
3 Nd 0.0000 0.0000 0.0000
4 Nd 0.7263 0.7263 0.8211
5 Nd 0.2737 0.2737 0.1789
6 Sm 0.9113 0.9113 0.2660
7 Sm 0.0887 0.0887 0.7340
8 Sm 0.8192 0.8192 0.5423
9 Sm 0.1808 0.1808 0.4577
10 Sm 0.6370 0.6370 0.0890
11 Sm 0.3630 0.3630 0.9110

Formation energy (eV per atom): 0.03
Space-group type: No. 166

---

Ca2Nd12Sm7 | PBE | optimized geometry

Cell: 3.6576 15.3217 15.3217 Å, 120.00 90.00 90.00°
Fractional positions:
1 Ca 0.5000 0.0000 0.0000
2 Ca 0.0000 0.6667 0.3333
3 Nd 0.5000 0.8728 0.5907
4 Nd 0.5000 0.7178 0.1272
5 Nd 0.5000 0.4093 0.2822
6 Nd 0.5000 0.2661 0.8357
7 Nd 0.5000 0.5697 0.7339
8 Nd 0.5000 0.1643 0.4303
9 Nd 0.0000 0.0824 0.5948
10 Nd 0.0000 0.5125 0.9176
11 Nd 0.0000 0.4052 0.4875
12 Nd 0.0000 0.7891 0.7437
13 Nd 0.0000 0.9547 0.2109
14 Nd 0.0000 0.2563 0.0453
15 Sm 0.0000 0.3333 0.6667
16 Sm 0.0000 0.0460 0.8111
17 Sm 0.0000 0.7652 0.9540
18 Sm 0.0000 0.1889 0.2348
19 Sm 0.5000 0.6207 0.5204
20 Sm 0.5000 0.8996 0.3793
21 Sm 0.5000 0.4796 0.1004

Formation energy (eV per atom): 0.05
Space-group type: No. 174

---

CaNd3Sm3 | PBE | optimized geometry

Cell: 8.8301 8.8313 9.1736 Å, 61.23 61.25 60.00°
Fractional positions:
1 Ca 0.6551 0.6548 0.0354
2 Ca 0.3449 0.3452 0.9646
3 Nd 0.2735 0.4294 0.3654
4 Nd 0.9319 0.2731 0.3660
5 Nd 0.4293 0.9319 0.3658
6 Nd 0.5707 0.0681 0.6342
7 Nd 0.0681 0.7269 0.6340
8 Nd 0.7265 0.5706 0.6346
9 Sm 0.2853 0.8273 0.8226
10 Sm 0.8271 0.0646 0.8227
11 Sm 0.0648 0.2853 0.8220
12 Sm 0.9352 0.7147 0.1780
13 Sm 0.1729 0.9354 0.1773
14 Sm 0.7147 0.1727 0.1774

Formation energy (eV per atom): 0.21
Space-group type: No. 148

---

Question: Which formula does entry 2 have?
Answer: Ca2Nd12Sm7

---

What did the third record say?
CaNd3Sm3 | PBE | optimized geometry

Cell: 8.8301 8.8313 9.1736 Å, 61.23 61.25 60.00°
Fractional positions:
1 Ca 0.6551 0.6548 0.0354
2 Ca 0.3449 0.3452 0.9646
3 Nd 0.2735 0.4294 0.3654
4 Nd 0.9319 0.2731 0.3660
5 Nd 0.4293 0.9319 0.3658
6 Nd 0.5707 0.0681 0.6342
7 Nd 0.0681 0.7269 0.6340
8 Nd 0.7265 0.5706 0.6346
9 Sm 0.2853 0.8273 0.8226
10 Sm 0.8271 0.0646 0.8227
11 Sm 0.0648 0.2853 0.8220
12 Sm 0.9352 0.7147 0.1780
13 Sm 0.1729 0.9354 0.1773
14 Sm 0.7147 0.1727 0.1774

Formation energy (eV per atom): 0.21
Space-group type: No. 148